La3PmY5: optimized geometry, PBE.

Computed properties:
The total energy comes out at -5.6944 eV per atom. The density of states at the Fermi level is 1.687 states/eV per atom. Its crystal system is hexagonal. For the formation energy, the calculation gives 0.07 eV/atom.

```
data_La3PmY5
_chemical_formula_sum 'La6 Pm2 Y10'
_cell_length_a 9.9683
_cell_length_b 9.9683
_cell_length_c 7.1761
_cell_angle_alpha 90.00
_cell_angle_beta 90.00
_cell_angle_gamma 120.00
_space_group_name_H-M_alt 'P 1'
_space_group_IT_number 1
loop_
_space_group_symop_operation_xyz
'x,y,z'
loop_
_atom_site_label
_atom_site_fract_x
_atom_site_fract_y
_atom_site_fract_z
La1 0.0000 0.3553 0.2500
La2 0.0000 0.6447 0.7500
La3 0.3553 0.0000 0.2500
La4 0.3553 0.3553 0.7500
La5 0.6447 0.0000 0.7500
La6 0.6447 0.6447 0.2500
Pm1 0.0000 0.0000 0.0000
Pm2 0.0000 0.0000 0.5000
Y1 0.0000 0.3158 0.7500
Y2 0.0000 0.6842 0.2500
Y3 0.3158 0.0000 0.7500
Y4 0.3158 0.3158 0.2500
Y5 0.3333 0.6667 0.0000
Y6 0.3333 0.6667 0.5000
Y7 0.6667 0.3333 0.0000
Y8 0.6667 0.3333 0.5000
Y9 0.6842 0.0000 0.2500
Y10 0.6842 0.6842 0.7500
```